1.
A plane-wave DFT calculation with PBE was carried out for a relaxed Rb2PuCl3F3 crystal.

DOS at the Fermi energy: 7.20 states/eV/f.u.
Electronic total energy: -5.49 eV per atom
Size of the total moment: 4.00 μB/f.u.

Cell and atoms, written as extended XYZ:
```
9
Lattice="3.767 0.000 0.000 0.000 8.053 0.000 0.000 -4.026 6.974" Properties=species:S:1:pos:R:3 pbc="T T T"
Pu 0.000 0.000 0.000
Rb 1.883 4.026 2.325
Cl 0.000 2.631 4.558
Cl 0.000 -1.395 2.416
F 1.883 -3.297 5.711
F 1.883 6.595 0.000
F 1.883 0.729 1.263
Cl 0.000 2.790 0.000
Rb 1.883 0.000 4.649
```

---

2.
A plane-wave DFT calculation with PBE was carried out for a relaxed Rb2PuCl2F4 crystal.

DOS at the Fermi energy: 1.22 states/eV/f.u.
Electronic total energy: -5.80 eV per atom
Size of the total moment: 4.00 μB/f.u.

Cell and atoms, written as extended XYZ:
```
9
Lattice="6.925 -0.073 -0.106 -3.388 6.040 0.106 -3.388 -2.023 5.692" Properties=species:S:1:pos:R:3 pbc="T T T"
Cl -1.837 1.089 1.572
Cl -4.939 2.928 4.226
F 1.528 0.836 1.207
F -1.380 3.107 4.485
F -3.388 -0.281 4.485
Pu 0.000 0.000 0.000
Rb 0.074 -0.044 4.243
Rb 0.074 3.988 1.449
F -3.388 4.298 1.313
```

---

3.
A plane-wave DFT calculation with PBE was carried out for a relaxed PuTl2Cl2F2 crystal.

DOS at the Fermi energy: 11.80 states/eV/f.u.
Electronic total energy: -5.71 eV per atom
Size of the total moment: 5.00 μB/f.u.

Cell and atoms, written as extended XYZ:
```
7
Lattice="-1.723 -3.421 -2.440 4.121 -0.860 -1.705 0.707 -4.493 10.027" Properties=species:S:1:pos:R:3 pbc="T T T"
Cl 2.610 -7.054 3.819
Cl 0.494 -1.721 2.063
F -0.862 -1.711 -1.220
Tl 2.058 -5.131 1.514
F 2.060 -0.430 -0.852
Tl 1.047 -3.643 4.368
Pu 0.000 0.000 0.000
```

---

4.
A plane-wave DFT calculation with PBE was carried out for a relaxed PuTl2Cl3F3 crystal.

DOS at the Fermi energy: 10.19 states/eV/f.u.
Electronic total energy: -5.39 eV per atom
Size of the total moment: 4.04 μB/f.u.

Cell and atoms, written as extended XYZ:
```
9
Lattice="3.713 0.000 0.000 0.000 7.940 0.000 0.000 -3.970 6.876" Properties=species:S:1:pos:R:3 pbc="T T T"
Tl 1.857 0.000 4.584
Cl 0.000 -1.424 2.466
F 1.857 -3.236 5.605
Cl 0.000 2.546 4.410
Cl 0.000 2.848 0.000
F 1.857 0.734 1.271
F 1.857 6.472 0.000
Tl 1.857 3.970 2.292
Pu 0.000 0.000 0.000
```

---

5.
A plane-wave DFT calculation with PBE was carried out for a relaxed RbCl2F7 crystal.

DOS at the Fermi energy: 1.30 states/eV/f.u.
Electronic total energy: -2.74 eV per atom
Size of the total moment: 0.00 μB/f.u.

Cell and atoms, written as extended XYZ:
```
10
Lattice="4.336 0.000 0.000 0.000 6.136 0.000 0.000 -3.068 6.838" Properties=species:S:1:pos:R:3 pbc="T T T"
Rb 0.000 0.000 0.000
Cl 2.168 3.068 2.022
F 2.168 1.763 4.918
Cl 2.168 0.000 4.816
F 0.000 3.068 1.947
F 2.168 3.068 0.000
F 0.000 0.000 4.891
F 2.168 4.831 1.920
F 2.168 -1.763 4.918
F 2.168 1.305 1.920
```

---

6.
A plane-wave DFT calculation with PBE was carried out for a relaxed Rb2ClF crystal.

Energy above the lowest structure with this stoichiometry: 0.1281 eV/atom
DOS at the Fermi energy: 0.00 states/eV/f.u.
Size of the total moment: 0.00 μB/f.u.

Cell and atoms, written as extended XYZ:
```
4
Lattice="0.000 3.781 3.781 3.781 0.000 3.781 3.781 3.781 0.000" Properties=species:S:1:pos:R:3 pbc="T T T"
Rb 1.890 1.890 1.890
Cl 3.781 3.781 3.781
Rb 5.671 5.671 5.671
F 0.000 0.000 0.000
```

---

7.
A plane-wave DFT calculation with PBE was carried out for a relaxed Rb2ClF2 crystal.

Energy above the lowest structure with this stoichiometry: 0.0259 eV/atom
DOS at the Fermi energy: 6.00 states/eV/f.u.
Size of the total moment: 1.01 μB/f.u.

Cell and atoms, written as extended XYZ:
```
5
Lattice="7.596 2.647 4.158 4.998 6.303 4.158 3.072 2.183 6.131" Properties=species:S:1:pos:R:3 pbc="T T T"
Cl 0.000 0.000 0.000
Rb 11.319 8.044 11.337
F 9.317 6.621 7.696
F 6.349 4.512 6.751
Rb 4.347 3.089 3.110
```

---

8.
A plane-wave DFT calculation with PBE was carried out for a relaxed Rb2ClF2 crystal.

Energy above the lowest structure with this stoichiometry: 0.0000 eV/atom
DOS at the Fermi energy: 1.13 states/eV/f.u.
Size of the total moment: 1.00 μB/f.u.

Cell and atoms, written as extended XYZ:
```
10
Lattice="-3.914 -3.374 5.855 -3.047 -5.158 -5.010 2.917 -2.319 0.614" Properties=species:S:1:pos:R:3 pbc="T T T"
F -5.311 -6.215 1.758
Cl -3.481 -4.266 0.423
Rb -2.857 -5.737 3.521
Cl 0.000 0.000 0.000
Rb -1.188 -5.114 -2.062
Rb -0.359 -3.134 1.483
Rb -3.686 -7.717 -0.024
F -1.651 -2.318 -0.913
F -2.977 -2.937 3.051
F -3.984 -5.595 -2.206
```

---

9.
A plane-wave DFT calculation with PBE was carried out for a relaxed Rb3Cl2F crystal.

Energy above the lowest structure with this stoichiometry: 0.0000 eV/atom
DOS at the Fermi energy: 0.00 states/eV/f.u.
Size of the total moment: 0.22 μB/f.u.

Cell and atoms, written as extended XYZ:
```
12
Lattice="-4.831 2.837 3.506 0.981 -6.058 6.253 6.768 4.065 -0.191" Properties=species:S:1:pos:R:3 pbc="T T T"
Rb 1.803 -1.898 4.015
Cl 3.752 -1.943 6.737
F -3.925 -1.807 8.071
Rb 1.309 1.133 0.892
F 0.074 -1.414 1.687
Rb -1.963 -0.218 3.166
Rb 1.609 -0.289 8.675
Cl -0.340 -0.245 5.954
Cl 3.257 1.089 3.613
Rb -1.888 -3.003 6.593
Rb 1.114 2.742 5.552
Cl -0.834 2.786 2.831
```

---

10.
A plane-wave DFT calculation with PBE was carried out for a relaxed Rb12Cl3F5 crystal.

DOS at the Fermi energy: 5.70 states/eV/f.u.
Electronic total energy: -3.09 eV per atom
Size of the total moment: 0.00 μB/f.u.

Cell and atoms, written as extended XYZ:
```
80
Lattice="16.117 0.000 0.000 -5.372 15.196 0.000 -5.372 -7.598 13.160" Properties=species:S:1:pos:R:3 pbc="T T T"
Cl 1.343 7.598 3.290
Rb 10.966 -3.127 8.185
Rb 3.557 5.412 1.016
Rb 5.151 2.745 7.965
F 8.059 0.000 0.000
Cl -1.343 6.648 8.225
Rb -4.566 6.698 6.800
Rb -1.231 5.498 11.554
Rb -1.816 0.213 10.759
Cl 6.716 0.950 4.935
Rb -3.917 13.096 1.606
Rb -0.806 1.259 2.621
F 1.343 -3.799 9.870
Rb 6.243 1.973 11.775
F -2.686 7.598 0.000
F 4.029 2.849 1.645
Cl 9.402 4.749 1.645
Rb 0.221 4.853 5.195
Rb 6.603 2.100 1.606
Cl 1.343 -0.950 4.935
Rb 3.492 2.158 4.179
Cl -4.029 2.849 11.515
Rb 1.231 1.359 7.596
Rb 7.252 8.497 6.800
Rb -1.880 -0.899 6.359
Rb 10.524 1.727 0.220
F 6.716 6.648 4.935
Rb 6.603 11.737 3.959
Rb 1.816 -1.973 11.775
F 5.372 7.598 0.000
Cl 4.029 8.547 8.225
Cl -6.716 7.598 9.870
Rb 4.566 -2.158 4.179
Cl 4.029 0.000 9.870
F 0.000 0.000 0.000
Rb 6.179 6.339 10.538
Rb 12.200 3.458 3.959
Rb 8.280 4.471 4.974
Rb -6.243 -0.213 10.759
Rb -3.492 8.857 10.538
Rb -5.594 10.724 4.974
Cl -4.029 -2.849 11.515
Rb -2.907 -5.871 12.939
F 1.343 4.749 11.515
Rb -0.871 9.784 1.016
F 5.372 -3.799 6.580
F -1.343 3.799 3.290
F -5.372 3.799 6.580
Rb 4.142 6.239 5.564
Rb 7.188 7.385 2.401
Rb -0.871 5.625 1.385
Rb 9.939 0.899 6.359
Rb 2.465 10.342 5.195
F 4.029 11.397 3.290
Rb 3.557 9.570 1.385
Rb 9.289 -5.498 11.554
F 9.402 -0.950 8.225
Rb -1.456 8.956 5.564
Rb 0.806 9.756 8.981
F 6.716 -4.749 11.515
F 2.686 3.799 6.580
Rb 6.243 -2.186 12.144
F -1.343 0.950 8.225
Rb 1.880 5.440 8.981
F 6.716 3.799 9.870
Rb -1.231 -4.139 9.201
F -1.343 12.346 1.645
Rb 1.816 2.186 12.144
F -2.686 -3.799 6.580
Rb 11.615 7.811 2.401
Rb -5.151 5.871 12.939
F -4.029 8.547 4.935
Rb 8.280 13.469 0.220
Rb 6.828 -1.359 7.596
Rb -6.828 4.139 9.201
Rb -2.907 3.127 8.185
Cl 12.088 0.000 3.290
Rb 2.907 -2.745 7.965
Cl 9.402 10.447 1.645
Rb 8.865 -1.259 2.621
```

---

11.
A plane-wave DFT calculation with PBE was carried out for a relaxed Rb3Cl2F crystal.

Energy above the lowest structure with this stoichiometry: 0.0031 eV/atom
DOS at the Fermi energy: 0.00 states/eV/f.u.
Size of the total moment: 0.18 μB/f.u.

Cell and atoms, written as extended XYZ:
```
6
Lattice="4.240 0.000 -1.201 -0.680 5.997 -2.400 -0.063 -0.378 7.863" Properties=species:S:1:pos:R:3 pbc="T T T"
Cl 2.712 0.902 1.486
F -0.340 2.998 -1.200
Rb 0.000 0.000 0.000
Rb 1.228 1.873 4.333
Cl 0.786 4.717 2.776
Rb 2.270 3.746 -0.071
```

---

12.
A plane-wave DFT calculation with PBE was carried out for a relaxed Rb2ClF crystal.

Energy above the lowest structure with this stoichiometry: 0.0496 eV/atom
DOS at the Fermi energy: 0.00 states/eV/f.u.
Size of the total moment: 0.00 μB/f.u.

Cell and atoms, written as extended XYZ:
```
8
Lattice="-1.826 -6.566 3.625 -1.890 -3.207 -6.762 2.467 -6.369 -2.074" Properties=species:S:1:pos:R:3 pbc="T T T"
Rb -0.892 -4.776 -4.094
F -1.858 -4.887 -1.569
Cl 0.000 0.000 0.000
Rb -1.298 -13.153 -3.932
Rb -0.661 -5.738 0.704
Rb 0.354 -8.617 -3.101
Cl -0.608 -8.911 -0.009
F -0.640 -7.231 -5.203
```

---

13.
A plane-wave DFT calculation with PBE was carried out for a relaxed Rb2Cl7F crystal.

DOS at the Fermi energy: 0.11 states/eV/f.u.
Electronic total energy: -2.31 eV per atom
Size of the total moment: 0.00 μB/f.u.

Cell and atoms, written as extended XYZ:
```
10
Lattice="-2.642 3.747 6.004 -4.433 -5.872 1.714 -0.217 -2.822 6.419" Properties=species:S:1:pos:R:3 pbc="T T T"
Cl 0.000 0.000 0.000
Rb -4.093 -4.879 5.996
Cl -2.079 -1.835 4.983
Cl -4.038 -3.751 2.660
Cl -5.515 -1.657 6.016
Rb -3.198 -0.069 8.141
Cl -1.560 -0.469 1.702
Cl -5.212 -3.112 9.154
F -3.537 -1.063 3.859
Cl -3.037 1.626 5.058
```

---

14.
A plane-wave DFT calculation with PBE was carried out for a relaxed RbCl2F6 crystal.

DOS at the Fermi energy: 1.62 states/eV/f.u.
Electronic total energy: -2.87 eV per atom
Size of the total moment: 0.00 μB/f.u.

Cell and atoms, written as extended XYZ:
```
18
Lattice="7.462 -1.574 -3.541 -4.776 6.920 -0.115 -0.752 1.421 8.248" Properties=species:S:1:pos:R:3 pbc="T T T"
F -0.961 5.880 1.276
Rb -0.415 5.467 4.331
F 0.570 3.552 -0.987
Cl -1.263 2.040 2.158
Cl 3.197 4.727 2.434
F 0.489 2.137 3.244
F 3.975 3.574 1.299
Cl 2.134 2.045 4.455
F 4.500 0.449 -2.520
F -2.565 6.318 7.112
F 1.365 3.215 5.579
Rb 2.350 1.300 0.261
F -0.503 0.877 1.022
F 2.438 5.889 3.570
F 2.896 0.887 3.316
F 1.446 4.629 1.348
F -2.040 3.192 3.292
Cl -0.199 4.721 0.137
```

---

15.
A plane-wave DFT calculation with PBE was carried out for a relaxed RbClF4 crystal.

DOS at the Fermi energy: 0.00 states/eV/f.u.
Electronic total energy: -3.19 eV per atom
Size of the total moment: 0.00 μB/f.u.

Cell and atoms, written as extended XYZ:
```
12
Lattice="5.031 0.000 0.000 -2.515 5.171 -1.491 0.000 0.378 8.696" Properties=species:S:1:pos:R:3 pbc="T T T"
F 1.172 4.616 3.632
F -0.101 2.676 4.822
Rb 1.157 0.283 6.522
F 1.343 0.933 3.573
Rb 3.874 0.094 2.174
F -1.172 4.427 -0.716
F 3.687 1.122 7.921
F 2.415 3.062 6.731
F 0.101 2.487 0.474
Cl 1.258 2.775 3.602
Cl -1.258 2.586 -0.746
F 2.616 2.873 2.383
```

---

16.
A plane-wave DFT calculation with PBE was carried out for a relaxed Rb2Cl5F4 crystal.

DOS at the Fermi energy: 2.25 states/eV/f.u.
Electronic total energy: -2.64 eV per atom
Size of the total moment: 1.52 μB/f.u.

Cell and atoms, written as extended XYZ:
```
11
Lattice="-1.164 5.516 -1.397 -2.975 3.928 8.052 1.953 5.392 9.911" Properties=species:S:1:pos:R:3 pbc="T T T"
Cl -0.511 4.660 8.982
Rb -1.313 8.329 13.809
F -1.200 11.577 10.991
Rb -0.874 6.507 2.757
F -0.986 3.260 5.575
Cl -0.552 9.133 10.216
Cl -1.635 5.703 6.350
F -1.730 11.055 12.873
Cl -0.427 7.151 9.726
F -0.456 3.781 3.693
Cl -1.760 7.685 6.840
```

---

17.
A plane-wave DFT calculation with PBE was carried out for a relaxed Rb4Cl2F crystal.

DOS at the Fermi energy: 1.68 states/eV/f.u.
Electronic total energy: -3.09 eV per atom
Size of the total moment: 0.00 μB/f.u.

Cell and atoms, written as extended XYZ:
```
7
Lattice="-1.112 4.804 -2.706 -1.671 -2.924 -4.505 -9.296 0.810 -0.589" Properties=species:S:1:pos:R:3 pbc="T T T"
Rb -0.835 -1.462 -2.252
Rb -6.344 0.858 -1.716
F 0.000 0.000 0.000
Cl -3.254 0.909 -2.895
Cl -8.824 1.780 -4.906
Rb -5.734 1.831 -6.085
Rb -0.556 2.402 -1.353
```

---

18.
A plane-wave DFT calculation with PBE was carried out for a relaxed RbClF2 crystal.

Energy above the lowest structure with this stoichiometry: 0.6012 eV/atom
DOS at the Fermi energy: 2.39 states/eV/f.u.
Size of the total moment: 0.00 μB/f.u.

Cell and atoms, written as extended XYZ:
```
4
Lattice="-3.265 -3.212 2.529 0.758 -4.827 1.870 0.103 -1.754 4.928" Properties=species:S:1:pos:R:3 pbc="T T T"
Cl -1.202 -4.897 4.664
Rb 0.000 0.000 0.000
F -0.502 -2.043 1.946
F -1.903 -7.751 7.381
```

---

19.
A plane-wave DFT calculation with PBE was carried out for a relaxed Rb2ClF6 crystal.

Energy above the lowest structure with this stoichiometry: 0.0043 eV/atom
Size of the total moment: 1.00 μB/f.u.

Cell and atoms, written as extended XYZ:
```
9
Lattice="-4.100 -2.436 1.341 1.614 -4.885 -3.701 3.471 -5.000 1.766" Properties=species:S:1:pos:R:3 pbc="T T T"
Rb 0.511 -3.841 -0.254
Cl 0.000 0.000 0.000
F 1.452 -6.024 -2.305
F 2.478 -6.087 0.716
F -2.206 -3.790 0.670
F -1.493 -6.233 -1.310
F 3.191 -8.530 -1.263
Rb 0.474 -8.479 -0.339
F -0.467 -6.297 1.712
```